Record 1
A plane-wave DFT calculation with PBE was carried out for PmIn3 after structural relaxation.

Its calculated formation energy is -0.47 eV/atom.

Lattice parameters (Å, degrees): 4.697 4.698 4.697 90.00 90.00 90.00
Sites, in units of the cell vectors:
In (0.000, 0.000, 0.083)
In (0.000, 0.500, 0.583)
Pm (0.500, 0.000, 0.583)
In (0.500, 0.500, 0.083)

Record 2
A plane-wave DFT calculation with PBE was carried out for TbSc2Tl after structural relaxation.

Its calculated formation energy is -0.02 eV/atom. The offset from the most stable computed form is 160 meV per atom.

Lattice parameters (Å, degrees): 5.208 5.208 5.208 60.00 60.00 60.00
Sites, in units of the cell vectors:
Tl (0.500, 0.500, 0.500)
Tb (0.000, 0.000, 0.000)
Sc (0.750, 0.750, 0.750)
Sc (0.250, 0.250, 0.250)

Record 3
A plane-wave DFT calculation with PBE was carried out for VNiOsPd after structural relaxation.

Its calculated formation energy is 0.01 eV/atom.

Lattice parameters (Å, degrees): 4.244 4.244 4.244 60.00 60.00 60.00
Sites, in units of the cell vectors:
V (0.750, 0.750, 0.750)
Pd (0.000, 0.000, 0.000)
Os (0.500, 0.500, 0.500)
Ni (0.250, 0.250, 0.250)

Record 4
A plane-wave DFT calculation with PBE was carried out for Tb3Ce2ErTe6 after structural relaxation.

The value obtained for the formation energy (no corrections) is -1.320 eV/atom.

Lattice parameters (Å, degrees): 4.369 8.876 9.859 103.49 102.80 90.00
Sites, in units of the cell vectors:
Er (0.500, 0.000, 0.000)
Te (0.664, 0.076, 0.328)
Tb (0.831, 0.166, 0.661)
Te (0.997, 0.245, 0.994)
Te (0.664, 0.589, 0.328)
Te (0.336, 0.924, 0.672)
Ce (0.832, 0.663, 0.664)
Tb (0.169, 0.834, 0.339)
Te (0.003, 0.755, 0.006)
Tb (0.500, 0.500, 0.000)
Te (0.336, 0.411, 0.672)
Ce (0.168, 0.337, 0.336)

Record 5
A plane-wave DFT calculation with PBE was carried out for Rb3LaN after structural relaxation.

The value obtained for the formation energy (no corrections) is 1.957 eV/atom.

Lattice parameters (Å, degrees): 7.125 7.125 7.125 90.00 90.00 90.00
Sites, in units of the cell vectors:
Rb (0.000, 0.000, 0.500)
Rb (0.500, 0.000, 0.000)
Rb (0.000, 0.500, 0.000)
N (0.500, 0.500, 0.500)
La (0.000, 0.000, 0.000)

Record 6
A plane-wave DFT calculation with PBE was carried out for InGaP2 after structural relaxation.

Its calculated formation energy is 0.26 eV/atom. The offset from the most stable computed form is 558 meV per atom.

Lattice parameters (Å, degrees): 4.223 4.223 7.325 73.25 73.25 60.00
Sites, in units of the cell vectors:
In (0.500, 0.500, 0.500)
P (0.106, 0.106, 0.681)
Ga (0.000, 0.000, 0.000)
P (0.894, 0.894, 0.319)

Record 7
A plane-wave DFT calculation with PBE was carried out for BaBeCuO3 after structural relaxation.

The value obtained for the formation energy (no corrections) is -1.813 eV/atom.

Lattice parameters (Å, degrees): 5.461 5.461 6.565 68.18 68.18 67.74
Sites, in units of the cell vectors:
Be (0.103, 0.103, 0.733)
O (0.221, 0.782, 0.779)
O (0.782, 0.221, 0.779)
Be (0.897, 0.897, 0.267)
Cu (0.294, 0.706, 0.500)
Ba (0.706, 0.706, 0.869)
Ba (0.294, 0.294, 0.131)
O (0.218, 0.779, 0.221)
O (0.708, 0.708, 0.346)
O (0.292, 0.292, 0.654)
Cu (0.706, 0.294, 0.500)
O (0.779, 0.218, 0.221)

Record 8
A plane-wave DFT calculation with PBE was carried out for DyOsCl after structural relaxation.

The value obtained for the formation energy (no corrections) is -1.115 eV/atom.

Lattice parameters (Å, degrees): 4.119 4.119 11.041 79.25 79.25 60.00
Sites, in units of the cell vectors:
Os (0.839, 0.839, 0.482)
Dy (0.564, 0.564, 0.308)
Os (0.161, 0.161, 0.518)
Cl (0.281, 0.281, 0.158)
Dy (0.436, 0.436, 0.692)
Cl (0.719, 0.719, 0.842)

Raw total energy / eV per atom: -3.71, -4.94, -7.82, -5.42, -1.27, -3.89, -5.92, -7.01